1.
10
Lattice="6.1046 0.0000 0.0000 0.0000 6.1046 0.0000 0.0000 0.0000 4.0936" Properties=species:S:1:pos:R:3 comment="Mn2IrAu2 | Alexandria via LeMat-Bulk | PBE-GGA | relaxed" sg="P4/mbm (127)" pbc="T T T"
Mn 0.6813 2.3710 0.0000
Mn 2.3710 5.4233 0.0000
Mn 3.7336 0.6813 0.0000
Mn 5.4233 3.7336 0.0000
Ir 0.0000 0.0000 0.0000
Ir 3.0523 3.0523 0.0000
Au 1.1147 4.1670 2.0468
Au 1.9376 1.1147 2.0468
Au 4.1670 4.9899 2.0468
Au 4.9899 1.9376 2.0468



2.
5
Lattice="4.7992 0.0000 0.0000 0.0000 4.7992 0.0000 0.0000 0.0000 4.7992" Properties=species:S:1:pos:R:3 comment="Mn3IrAu | Alexandria via LeMat-Bulk | PBE-GGA | relaxed" sg="Pm-3m (221)" pbc="T T T"
Mn 0.0000 0.0000 2.3996
Mn 0.0000 2.3996 0.0000
Mn 2.3996 0.0000 0.0000
Ir 0.0000 0.0000 0.0000
Au 2.3996 2.3996 2.3996



3.
4
Lattice="1.4414 -2.3888 0.0000 1.4414 2.3888 0.0000 0.0000 0.0000 9.5201" Properties=species:S:1:pos:R:3 comment="MnIrAu2 | Alexandria via LeMat-Bulk | PBE-GGA | relaxed" sg="Cmmm (65)" pbc="T T T"
Mn 0.0000 0.0000 0.0000
Ir 0.0000 0.0000 4.7601
Au 1.4414 0.0000 2.3024
Au 1.4414 0.0000 7.2177



4.
4
Lattice="1.4274 0.8241 9.1895 -1.4274 0.8241 9.1895 0.0000 -1.6483 9.1895" Properties=species:S:1:pos:R:3 comment="MnIrAu2 | Alexandria via LeMat-Bulk | PBE-GGA | relaxed" sg="R-3m (166)" pbc="T T T"
Mn 0.0000 0.0000 0.0000
Ir 0.0000 0.0000 13.7842
Au 0.0000 0.0000 6.9748
Au 0.0000 0.0000 20.5936



5.
4
Lattice="2.7753 -3.7585 0.0000 2.7753 3.7585 0.0000 0.0000 0.0000 2.8948" Properties=species:S:1:pos:R:3 comment="MnIr2Au | Alexandria via LeMat-Bulk | PBE-GGA | relaxed" sg="Cmmm (65)" pbc="T T T"
Mn 0.0000 0.0000 0.0000
Ir 1.3877 1.8793 1.4474
Ir 1.3877 -1.8793 1.4474
Au 2.7753 0.0000 0.0000



6.
4
Lattice="0.0000 3.1424 3.1424 3.1424 0.0000 3.1424 3.1424 3.1424 0.0000" Properties=species:S:1:pos:R:3 comment="MnIr2Au | Alexandria via LeMat-Bulk | PBE-GGA | relaxed" sg="F-43m (216)" pbc="T T T"
Mn 0.0000 0.0000 0.0000
Ir 3.1424 3.1424 3.1424
Ir 4.7137 4.7137 4.7137
Au 1.5712 1.5712 1.5712



7.
4
Lattice="1.4434 0.8334 9.0057 -1.4434 0.8334 9.0057 0.0000 -1.6667 9.0057" Properties=species:S:1:pos:R:3 comment="MnIrAu2 | Alexandria via LeMat-Bulk | PBE-GGA | relaxed" sg="R3m (160)" pbc="T T T"
Mn 0.0000 0.0000 0.0000
Ir 0.0000 0.0000 7.1008
Au 0.0000 0.0000 13.6877
Au 0.0000 0.0000 20.1952



8.
4
Lattice="2.8579 0.0000 0.0000 0.0000 2.8579 0.0000 0.0000 0.0000 7.8865" Properties=species:S:1:pos:R:3 comment="MnIrAu2 | Alexandria via LeMat-Bulk | PBE-GGA | relaxed" sg="P4mm (99)" pbc="T T T"
Mn 0.0000 0.0000 0.0000
Ir 1.4290 1.4290 6.2926
Au 0.0000 0.0000 4.1820
Au 1.4290 1.4290 1.9532



| no. | M_tot (Bohr magnetons per cell) | formation energy from the elements (eV/atom) | total DFT energy (no corrections) (eV/atom) |
| --- | --- | --- | --- |
| 1 | 0.0 | 0.51 | -6.24 |
| 2 | 13.2 | 0.91 | -7.02 |
| 3 | 3.9 | 0.34 | -5.81 |
| 4 | 4.3 | 0.28 | -5.87 |
| 5 | 3.4 | 0.21 | -7.33 |
| 6 | 3.3 | 0.34 | -7.20 |
| 7 | 3.4 | 0.10 | -6.04 |
| 8 | 3.4 | 0.05 | -6.10 |